First-principles (PBE) data for crystalline Li2Er3Cd5 at its relaxed geometry, as listed in Alexandria.

Results
DOS(E_F) = 10.505 states/eV per cell
Crystal system = tetragonal
E_form = -0.250 eV per atom

```
data_Li2Er3Cd5
_space_group_name_H-M_alt 'P 4/m b m'
_space_group_IT_number 127
_space_group_name_Hall '-P 4 2ab'
_cell_length_a 10.383
_cell_length_b 10.383
_cell_length_c 4.156
_cell_angle_alpha 90.00
_cell_angle_beta 90.00
_cell_angle_gamma 90.00
loop_
_atom_site_label
_atom_site_type_symbol
_atom_site_fract_x
_atom_site_fract_y
_atom_site_fract_z
_atom_site_occupancy
Li1 Li 0.115 0.385 0.000 1
Er1 Er 0.000 0.000 0.000 1
Er2 Er 0.179 0.679 0.000 1
Cd1 Cd 0.000 0.500 0.500 1
Cd2 Cd 0.062 0.215 0.500 1
```



First-principles (PBE) data for crystalline MgInSnRu at its relaxed geometry, as listed in Alexandria.

Results
DOS(E_F) = 8.015 states/eV per cell
Crystal system = cubic
E_form = 0.061 eV per atom

```
data_MgInSnRu
_space_group_name_H-M_alt 'F -4 3 m'
_space_group_IT_number 216
_space_group_name_Hall 'F -4 2 3'
_cell_length_a 6.707
_cell_length_b 6.707
_cell_length_c 6.707
_cell_angle_alpha 90.00
_cell_angle_beta 90.00
_cell_angle_gamma 90.00
loop_
_atom_site_label
_atom_site_type_symbol
_atom_site_fract_x
_atom_site_fract_y
_atom_site_fract_z
_atom_site_occupancy
Mg1 Mg 0.000 0.000 0.000 1
In1 In 0.250 0.250 0.750 1
Sn1 Sn 0.250 0.250 0.250 1
Ru1 Ru 0.000 0.000 0.500 1
```



First-principles (PBE) data for crystalline PmPPt at its relaxed geometry, as listed in Alexandria.

Results
DOS(E_F) = 3.831 states/eV per cell
Crystal system = trigonal
ΔE to the lowest computed polymorph = 381 meV per atom
E_form = -0.973 eV per atom

```
data_PmPPt
_space_group_name_H-M_alt 'P 32'
_space_group_IT_number 145
_cell_length_a 5.7192
_cell_length_b 5.7192
_cell_length_c 7.1136
_cell_angle_alpha 90.00
_cell_angle_beta 90.00
_cell_angle_gamma 120.00
loop_
_space_group_symop_operation_xyz
'x,y,z'
'-y,x-y,z+2/3'
'-x+y,-x,z+1/3'
loop_
_atom_site_label
_atom_site_type_symbol
_atom_site_fract_x
_atom_site_fract_y
_atom_site_fract_z
_atom_site_occupancy
Pm1 Pm 0.0268 0.6818 0.0000 1
P1 P 0.1208 0.7327 0.5792 1
Pt1 Pt 0.4606 0.2119 0.0526 1
```



First-principles (PBE) data for crystalline CdTc2PdN at its relaxed geometry, as listed in Alexandria.

Results
Formation energy (no corrections) = 278.7 meV/atom
DOS(E_F) = 5.534 states/eV per cell
Crystal system = tetragonal

```
data_CdTc2PdN
_space_group_name_H-M_alt 'P 4/m m m'
_space_group_IT_number 123
_space_group_name_Hall '-P 4 2'
_cell_length_a 3.952
_cell_length_b 3.952
_cell_length_c 4.802
_cell_angle_alpha 90.00
_cell_angle_beta 90.00
_cell_angle_gamma 90.00
loop_
_atom_site_label
_atom_site_type_symbol
_atom_site_fract_x
_atom_site_fract_y
_atom_site_fract_z
_atom_site_occupancy
Cd1 Cd 0.000 0.000 0.000 1
Tc1 Tc 0.000 0.500 0.500 1
Pd1 Pd 0.500 0.500 0.000 1
N1 N 0.000 0.000 0.500 1
```



Q: What is the formula in the second record?
A: MgInSnRu



Q: Which value of DOS(E_F) does entry 4 give?
A: 5.534 states/eV per cell



Please write out number 1 again, unchanged.
First-principles (PBE) data for crystalline Li2Er3Cd5 at its relaxed geometry, as listed in Alexandria.

Results
DOS(E_F) = 10.505 states/eV per cell
Crystal system = tetragonal
E_form = -0.250 eV per atom

```
data_Li2Er3Cd5
_space_group_name_H-M_alt 'P 4/m b m'
_space_group_IT_number 127
_space_group_name_Hall '-P 4 2ab'
_cell_length_a 10.383
_cell_length_b 10.383
_cell_length_c 4.156
_cell_angle_alpha 90.00
_cell_angle_beta 90.00
_cell_angle_gamma 90.00
loop_
_atom_site_label
_atom_site_type_symbol
_atom_site_fract_x
_atom_site_fract_y
_atom_site_fract_z
_atom_site_occupancy
Li1 Li 0.115 0.385 0.000 1
Er1 Er 0.000 0.000 0.000 1
Er2 Er 0.179 0.679 0.000 1
Cd1 Cd 0.000 0.500 0.500 1
Cd2 Cd 0.062 0.215 0.500 1
```



Q: The highest DOS(E_F) belongs to which entry?
A: Li2Er3Cd5